VASP calculation (GGA-PBE) on a geometry-optimized ZrMn2Ag structure.

Structure (CIF):
```
data_ZrMn2Ag
_space_group_name_H-M_alt 'F -4 3 m'
_space_group_IT_number 216
_space_group_name_Hall 'F -4 2 3'
_cell_length_a 6.5061
_cell_length_b 6.5061
_cell_length_c 6.5061
_cell_angle_alpha 90.00
_cell_angle_beta 90.00
_cell_angle_gamma 90.00
loop_
_atom_site_label
_atom_site_type_symbol
_atom_site_fract_x
_atom_site_fract_y
_atom_site_fract_z
Zr1 Zr 0.0000 0.0000 0.0000
Mn1 Mn 0.0000 0.0000 0.5000
Mn2 Mn 0.2500 0.2500 0.2500
Ag1 Ag 0.2500 0.2500 0.7500
```

- crystal system = cubic
- energy above the lowest structure with this stoichiometry (meV per atom) = 229